Entry from the Alexandria database: an optimized crystal structure of AlAg3S (PBE).

Geometry as POSCAR:
```
AlAg3S
1.0
4.890 0.000 0.000
0.000 4.890 0.000
0.000 0.000 4.890
Ag S Al
3 1 1
direct
0.000 0.500 0.000
0.500 0.000 0.000
0.000 0.000 0.500
0.000 0.000 0.000
0.500 0.500 0.500
```

Output
Raw formation energy = 453 meV/atom
N(E_F) = 0.466 states/eV/atom